Below is crystalline KZn2CdIr at its relaxed geometry, with properties calculated at the PBE-GGA level.

DFT formation energy ... -0.34 eV/f.u.
Density ... 6.169 g/cm3
SG ... P4/mmm
Crystal system ... tetragonal
VASP energy ... -13.8 eV for the cell shown

Cell: 4.9223 4.9223 5.2722 Å, 90.00 90.00 90.00°
With the nearest neighbours (Å) after each atom.
Positions (direct):
Zn 0.0000 0.5000 0.0000  2 Ir 2.46
Zn 0.5000 0.0000 0.0000  2 Ir 2.46
Ir 0.0000 0.0000 0.0000  4 Zn 2.46, 2 Cd 2.64
K 0.5000 0.5000 0.5000  4 Cd 3.48, 8 Zn 3.61
Cd 0.0000 0.0000 0.5000  2 Ir 2.64